An optimized crystal structure of AcEuSb2. Source: Alexandria via LeMat-Bulk, functional PBE-GGA.

Output
ΔE_f (raw), kcal/mol of atoms: -21.01
Polymorph energy (0 for the lowest one), eV/atom: 0.116
Space group: Fm-3m (225)

```
4
Lattice="5.7022 0.0000 0.0000 2.8511 4.9382 0.0000 2.8511 1.6461 4.6558" Properties=species:S:1:pos:R:3 pbc="T T T"
Eu 0.0000 0.0000 0.0000
Sb 2.8511 1.6461 1.1639
Sb 8.5532 4.9382 3.4918
Ac 5.7022 3.2921 2.3279
```